(1)
Here is a geometry-optimized ThTeAu structure from Alexandria via LeMat-Bulk. Energies are from PBE.

The structure belongs to space group C2/m (No. 12); the cell edges are 10.5800, 4.0052 and 7.6913 Å and the angles 90.00°, 93.64° and 90.00°. Symmetry generates all atoms from Th at (0.0672, 0.0000, 0.2573), Te at (0.1417, 0.5000, 0.5974) and Au at (0.1474, 0.5000, 0.9851).

As for the density of states at the Fermi level: 1.3 states/eV/f.u. For the energy above the most stable polymorph in this dataset, the calculation gives 0.0 meV per atom.



(2)
Here is a geometry-optimized CaInGa4 structure from Alexandria via LeMat-Bulk. Energies are from PBE.

The structure belongs to space group Immm (No. 71); the cell edges are 4.4854, 6.9027 and 8.9952 Å and the angles 90.00°, 90.00° and 90.00°. Symmetry generates all atoms from Ca at (0.0000, 0.0000, 0.0000), In at (0.0000, 0.0000, 0.5000) and Ga at (0.0000, 0.3154, 0.2879).

As for the density of states at the Fermi level: 1.8 states/eV/f.u. For the energy above the most stable polymorph in this dataset, the calculation gives 12.9 meV per atom.



(3)
Here is a geometry-optimized CsZn3Re structure from Alexandria via LeMat-Bulk. Energies are from PBE.

The structure belongs to space group Pm-3m (No. 221); the cell edges are 5.7710, 5.7710 and 5.7710 Å and the angles 90.00°, 90.00° and 90.00°. Symmetry generates all atoms from Cs at (0.0000, 0.0000, 0.0000), Zn at (0.0000, 0.0000, 0.5000) and Re at (0.5000, 0.5000, 0.5000).

As for the density of states at the Fermi level: 4.0 states/eV/f.u.



(4)
Here is a geometry-optimized EuTm2Se4 structure from Alexandria via LeMat-Bulk. Energies are from PBE.

The structure belongs to space group Pnma (No. 62); the cell edges are 12.4687, 4.0859 and 14.7745 Å and the angles 90.00°, 90.00° and 90.00°. Symmetry generates all atoms from Eu at (0.2406, 0.2500, 0.1662), Tm at (0.0612, 0.2500, 0.3886), Tm at (0.0843, 0.2500, 0.9031), Se at (0.0289, 0.7500, 0.7847), Se at (0.0920, 0.2500, 0.5772), Se at (0.1300, 0.7500, 0.0322) and Se at (0.2046, 0.7500, 0.3270).

As for the density of states at the Fermi level: 19.8 states/eV/f.u.



no.,electronic total energy (eV per atom)
1,-5.46
2,-3.02
3,-1.18
4,-6.66